(1)
Below is a relaxed Mn4SbAs crystal, with properties calculated at the PBEsol level.

Cell and atoms, written as CIF:
```
data_Mn4SbAs
_symmetry_space_group_name_H-M 'F -4 3 m'
_symmetry_Int_Tables_number 216
_symmetry_space_group_name_Hall 'F -4 2 3'
_cell_length_a 6.888
_cell_length_b 6.888
_cell_length_c 6.888
_cell_angle_alpha 90.00
_cell_angle_beta 90.00
_cell_angle_gamma 90.00
loop_
_atom_site_label
_atom_site_type_symbol
_atom_site_fract_x
_atom_site_fract_y
_atom_site_fract_z
Mn1 Mn 0.125 0.125 0.125
Sb1 Sb 0.000 0.000 0.500
As1 As 0.250 0.250 0.750
```

Summary:
VASP energy ... -7.731 eV per atom
Magnetization ... 7.4 μB/f.u.
Formation energy from raw total energies ... 8.92 kcal/mol of atoms

=====

(2)
Below is a relaxed CsK3 crystal, with properties calculated at the PBEsol level.

Cell and atoms, written as CIF:
```
data_CsK3
_symmetry_space_group_name_H-M 'I 4/m m m'
_symmetry_Int_Tables_number 139
_symmetry_space_group_name_Hall '-I 4 2'
_cell_length_a 6.860
_cell_length_b 6.860
_cell_length_c 13.253
_cell_angle_alpha 90.00
_cell_angle_beta 90.00
_cell_angle_gamma 90.00
loop_
_atom_site_label
_atom_site_type_symbol
_atom_site_fract_x
_atom_site_fract_y
_atom_site_fract_z
Cs1 Cs 0.000 0.000 0.000
K1 K 0.000 0.000 0.500
K2 K 0.000 0.500 0.250
```

Summary:
VASP energy ... -1.078 eV per atom
Magnetization ... 0.0 μB/f.u.
Energy of formation ... 8 meV per atom

=====

(3)
Below is a relaxed SrRe2Ge2 crystal, with properties calculated at the PBEsol level.

Cell and atoms, written as CIF:
```
data_SrRe2Ge2
_symmetry_space_group_name_H-M 'I 4/m m m'
_symmetry_Int_Tables_number 139
_symmetry_space_group_name_Hall '-I 4 2'
_cell_length_a 4.566
_cell_length_b 4.566
_cell_length_c 9.450
_cell_angle_alpha 90.00
_cell_angle_beta 90.00
_cell_angle_gamma 90.00
loop_
_atom_site_label
_atom_site_type_symbol
_atom_site_fract_x
_atom_site_fract_y
_atom_site_fract_z
Sr1 Sr 0.000 0.000 0.000
Re1 Re 0.000 0.000 0.378
Ge1 Ge 0.000 0.500 0.250
```

Summary:
VASP energy ... -7.612 eV per atom
Magnetization ... 0.0 μB/f.u.
Energy of formation ... 64 meV per atom

=====

(4)
Below is a relaxed Er2InPd2 crystal, with properties calculated at the PBEsol level.

Cell and atoms, written as CIF:
```
data_Er2InPd2
_symmetry_space_group_name_H-M 'P 4/m b m'
_symmetry_Int_Tables_number 127
_symmetry_space_group_name_Hall '-P 4 2ab'
_cell_length_a 7.564
_cell_length_b 7.564
_cell_length_c 3.608
_cell_angle_alpha 90.00
_cell_angle_beta 90.00
_cell_angle_gamma 90.00
loop_
_atom_site_label
_atom_site_type_symbol
_atom_site_fract_x
_atom_site_fract_y
_atom_site_fract_z
Er1 Er 0.172 0.328 0.000
In1 In 0.000 0.000 0.500
Pd1 Pd 0.129 0.629 0.500
```

Summary:
VASP energy ... -5.844 eV per atom
Magnetization ... 0.0 μB/f.u.
Energy of formation ... -893 meV per atom

=====

(5)
Below is a relaxed DySi2Pd2 crystal, with properties calculated at the PBEsol level.

Cell and atoms, written as CIF:
```
data_DySi2Pd2
_symmetry_space_group_name_H-M 'I 4/m m m'
_symmetry_Int_Tables_number 139
_symmetry_space_group_name_Hall '-I 4 2'
_cell_length_a 4.088
_cell_length_b 4.088
_cell_length_c 9.899
_cell_angle_alpha 90.00
_cell_angle_beta 90.00
_cell_angle_gamma 90.00
loop_
_atom_site_label
_atom_site_type_symbol
_atom_site_fract_x
_atom_site_fract_y
_atom_site_fract_z
Dy1 Dy 0.000 0.000 0.000
Si1 Si 0.000 0.000 0.383
Pd1 Pd 0.000 0.500 0.250
```

Summary:
VASP energy ... -6.688 eV per atom
Magnetization ... 0.0 μB/f.u.
Formation energy from raw total energies ... -23.29 kcal/mol of atoms

=====

(6)
Below is a relaxed ScGeBi3 crystal, with properties calculated at the PBEsol level.

Cell and atoms, written as CIF:
```
data_ScGeBi3
_symmetry_space_group_name_H-M 'P m -3 m'
_symmetry_Int_Tables_number 221
_symmetry_space_group_name_Hall '-P 4 2 3'
_cell_length_a 5.481
_cell_length_b 5.481
_cell_length_c 5.481
_cell_angle_alpha 90.00
_cell_angle_beta 90.00
_cell_angle_gamma 90.00
loop_
_atom_site_label
_atom_site_type_symbol
_atom_site_fract_x
_atom_site_fract_y
_atom_site_fract_z
Sc1 Sc 0.000 0.000 0.000
Ge1 Ge 0.500 0.500 0.500
Bi1 Bi 0.000 0.000 0.500
```

Summary:
VASP energy ... -4.431 eV per atom
Magnetization ... 0.0 μB/f.u.
Energy of formation ... 449 meV per atom

=====

(7)
Below is a relaxed YCuOs2 crystal, with properties calculated at the PBEsol level.

Cell and atoms, written as CIF:
```
data_YCuOs2
_symmetry_space_group_name_H-M 'I m m 2'
_symmetry_Int_Tables_number 44
_cell_length_a 2.999
_cell_length_b 4.586
_cell_length_c 9.375
_cell_angle_alpha 90.00
_cell_angle_beta 90.00
_cell_angle_gamma 90.00
loop_
_symmetry_equiv_pos_as_xyz
'x,y,z'
'-x,-y,z'
'-x,y,z'
'x,-y,z'
'x+1/2,y+1/2,z+1/2'
'-x+1/2,-y+1/2,z+1/2'
'-x+1/2,y+1/2,z+1/2'
'x+1/2,-y+1/2,z+1/2'
loop_
_atom_site_label
_atom_site_type_symbol
_atom_site_fract_x
_atom_site_fract_y
_atom_site_fract_z
Y1 Y 0.000 0.000 0.000
Cu1 Cu 0.000 0.500 0.773
Os1 Os 0.000 0.000 0.504
Os2 Os 0.000 0.500 0.229
```

Summary:
VASP energy ... -8.525 eV per atom
Magnetization ... 0.0 μB/f.u.
Energy of formation ... 372 meV per atom

=====

(8)
Below is a relaxed BeCrBr2 crystal, with properties calculated at the PBEsol level.

Cell and atoms, written as CIF:
```
data_BeCrBr2
_symmetry_space_group_name_H-M 'F m -3 m'
_symmetry_Int_Tables_number 225
_symmetry_space_group_name_Hall '-F 4 2 3'
_cell_length_a 6.670
_cell_length_b 6.670
_cell_length_c 6.670
_cell_angle_alpha 90.00
_cell_angle_beta 90.00
_cell_angle_gamma 90.00
loop_
_atom_site_label
_atom_site_type_symbol
_atom_site_fract_x
_atom_site_fract_y
_atom_site_fract_z
Be1 Be 0.000 0.000 0.000
Cr1 Cr 0.000 0.000 0.500
Br1 Br 0.250 0.250 0.250
```

Summary:
VASP energy ... -3.927 eV per atom
Magnetization ... 4.3 μB/f.u.
Formation energy from raw total energies ... 13.10 kcal/mol of atoms

=====

(9)
Below is a relaxed SrTe2Rh crystal, with properties calculated at the PBEsol level.

Cell and atoms, written as CIF:
```
data_SrTe2Rh
_symmetry_space_group_name_H-M 'C 1 m 1'
_symmetry_Int_Tables_number 8
_cell_length_a 11.025
_cell_length_b 3.991
_cell_length_c 5.714
_cell_angle_alpha 90.00
_cell_angle_beta 117.65
_cell_angle_gamma 90.00
loop_
_symmetry_equiv_pos_as_xyz
'x,y,z'
'x,-y,z'
'x+1/2,y+1/2,z'
'x+1/2,-y+1/2,z'
loop_
_atom_site_label
_atom_site_type_symbol
_atom_site_fract_x
_atom_site_fract_y
_atom_site_fract_z
Sr1 Sr 0.000 0.000 0.000
Te1 Te 0.140 0.500 0.682
Te2 Te 0.319 0.500 0.349
Rh1 Rh 0.244 0.000 0.548
```

Summary:
VASP energy ... -4.949 eV per atom
Magnetization ... 0.0 μB/f.u.
Formation energy from raw total energies ... -15.94 kcal/mol of atoms

=====

(10)
Below is a relaxed Y3MnCr crystal, with properties calculated at the PBEsol level.

Cell and atoms, written as CIF:
```
data_Y3MnCr
_symmetry_space_group_name_H-M 'P m -3 m'
_symmetry_Int_Tables_number 221
_symmetry_space_group_name_Hall '-P 4 2 3'
_cell_length_a 5.053
_cell_length_b 5.053
_cell_length_c 5.053
_cell_angle_alpha 90.00
_cell_angle_beta 90.00
_cell_angle_gamma 90.00
loop_
_atom_site_label
_atom_site_type_symbol
_atom_site_fract_x
_atom_site_fract_y
_atom_site_fract_z
Y1 Y 0.000 0.000 0.500
Mn1 Mn 0.500 0.500 0.500
Cr1 Cr 0.000 0.000 0.000
```

Summary:
VASP energy ... -7.314 eV per atom
Magnetization ... 4.0 μB/f.u.
Energy of formation ... 780 meV per atom

=====

(11)
Below is a relaxed BaTaAs2 crystal, with properties calculated at the PBEsol level.

Cell and atoms, written as CIF:
```
data_BaTaAs2
_symmetry_space_group_name_H-M 'F -4 3 m'
_symmetry_Int_Tables_number 216
_symmetry_space_group_name_Hall 'F -4 2 3'
_cell_length_a 6.986
_cell_length_b 6.986
_cell_length_c 6.986
_cell_angle_alpha 90.00
_cell_angle_beta 90.00
_cell_angle_gamma 90.00
loop_
_atom_site_label
_atom_site_type_symbol
_atom_site_fract_x
_atom_site_fract_y
_atom_site_fract_z
Ba1 Ba 0.000 0.000 0.000
Ta1 Ta 0.250 0.250 0.750
As1 As 0.000 0.000 0.500
As2 As 0.250 0.250 0.250
```

Summary:
VASP energy ... -5.621 eV per atom
Magnetization ... 0.0 μB/f.u.
Energy of formation ... 608 meV per atom

=====

(12)
Below is a relaxed HgGe2S2 crystal, with properties calculated at the PBEsol level.

Cell and atoms, written as CIF:
```
data_HgGe2S2
_symmetry_space_group_name_H-M 'I 4/m m m'
_symmetry_Int_Tables_number 139
_symmetry_space_group_name_Hall '-I 4 2'
_cell_length_a 4.563
_cell_length_b 4.563
_cell_length_c 10.690
_cell_angle_alpha 90.00
_cell_angle_beta 90.00
_cell_angle_gamma 90.00
loop_
_atom_site_label
_atom_site_type_symbol
_atom_site_fract_x
_atom_site_fract_y
_atom_site_fract_z
Hg1 Hg 0.000 0.000 0.000
Ge1 Ge 0.000 0.000 0.351
S1 S 0.000 0.500 0.250
```

Summary:
VASP energy ... -3.894 eV per atom
Magnetization ... 0.0 μB/f.u.
Formation energy from raw total energies ... -1.19 kcal/mol of atoms

=====

(13)
Below is a relaxed Sc2ReMo crystal, with properties calculated at the PBEsol level.

Cell and atoms, written as CIF:
```
data_Sc2ReMo
_symmetry_space_group_name_H-M 'P 4/m m m'
_symmetry_Int_Tables_number 123
_symmetry_space_group_name_Hall '-P 4 2'
_cell_length_a 3.166
_cell_length_b 3.166
_cell_length_c 6.832
_cell_angle_alpha 90.00
_cell_angle_beta 90.00
_cell_angle_gamma 90.00
loop_
_atom_site_label
_atom_site_type_symbol
_atom_site_fract_x
_atom_site_fract_y
_atom_site_fract_z
Sc1 Sc 0.000 0.000 0.237
Re1 Re 0.500 0.500 0.000
Mo1 Mo 0.500 0.500 0.500
```

Summary:
VASP energy ... -9.291 eV per atom
Magnetization ... 0.0 μB/f.u.
Energy of formation ... 287 meV per atom

=====

(14)
Below is a relaxed BePt2W crystal, with properties calculated at the PBEsol level.

Cell and atoms, written as CIF:
```
data_BePt2W
_symmetry_space_group_name_H-M 'P 4/m m m'
_symmetry_Int_Tables_number 123
_symmetry_space_group_name_Hall '-P 4 2'
_cell_length_a 4.595
_cell_length_b 4.595
_cell_length_c 2.707
_cell_angle_alpha 90.00
_cell_angle_beta 90.00
_cell_angle_gamma 90.00
loop_
_atom_site_label
_atom_site_type_symbol
_atom_site_fract_x
_atom_site_fract_y
_atom_site_fract_z
Be1 Be 0.000 0.000 0.000
Pt1 Pt 0.000 0.500 0.500
W1 W 0.500 0.500 0.000
```

Summary:
VASP energy ... -8.036 eV per atom
Magnetization ... 0.0 μB/f.u.
Energy of formation ... -102 meV per atom

=====

(15)
Below is a relaxed FeSi2Mo crystal, with properties calculated at the PBEsol level.

Cell and atoms, written as CIF:
```
data_FeSi2Mo
_symmetry_space_group_name_H-M 'F -4 3 m'
_symmetry_Int_Tables_number 216
_symmetry_space_group_name_Hall 'F -4 2 3'
_cell_length_a 5.880
_cell_length_b 5.880
_cell_length_c 5.880
_cell_angle_alpha 90.00
_cell_angle_beta 90.00
_cell_angle_gamma 90.00
loop_
_atom_site_label
_atom_site_type_symbol
_atom_site_fract_x
_atom_site_fract_y
_atom_site_fract_z
Fe1 Fe 0.000 0.000 0.000
Si1 Si 0.000 0.000 0.500
Si2 Si 0.250 0.250 0.250
Mo1 Mo 0.250 0.250 0.750
```

Summary:
VASP energy ... -7.978 eV per atom
Magnetization ... 1.6 μB/f.u.
Formation energy from raw total energies ... 1.81 kcal/mol of atoms

=====

(16)
Below is a relaxed SrPSeN2 crystal, with properties calculated at the PBEsol level.

Cell and atoms, written as CIF:
```
data_SrPSeN2
_symmetry_space_group_name_H-M 'P 4/m m m'
_symmetry_Int_Tables_number 123
_symmetry_space_group_name_Hall '-P 4 2'
_cell_length_a 4.600
_cell_length_b 4.600
_cell_length_c 6.168
_cell_angle_alpha 90.00
_cell_angle_beta 90.00
_cell_angle_gamma 90.00
loop_
_atom_site_label
_atom_site_type_symbol
_atom_site_fract_x
_atom_site_fract_y
_atom_site_fract_z
Sr1 Sr 0.000 0.000 0.000
P1 P 0.500 0.500 0.500
Se1 Se 0.000 0.000 0.500
N1 N 0.000 0.500 0.000
```

Summary:
VASP energy ... -3.838 eV per atom
Magnetization ... 5.8 μB/f.u.
Formation energy from raw total energies ... 43.10 kcal/mol of atoms

=====

(17)
Below is a relaxed GaCoPd3 crystal, with properties calculated at the PBEsol level.

Cell and atoms, written as CIF:
```
data_GaCoPd3
_symmetry_space_group_name_H-M 'P m -3 m'
_symmetry_Int_Tables_number 221
_symmetry_space_group_name_Hall '-P 4 2 3'
_cell_length_a 4.496
_cell_length_b 4.496
_cell_length_c 4.496
_cell_angle_alpha 90.00
_cell_angle_beta 90.00
_cell_angle_gamma 90.00
loop_
_atom_site_label
_atom_site_type_symbol
_atom_site_fract_x
_atom_site_fract_y
_atom_site_fract_z
Ga1 Ga 0.000 0.000 0.000
Co1 Co 0.500 0.500 0.500
Pd1 Pd 0.000 0.000 0.500
```

Summary:
VASP energy ... -5.017 eV per atom
Magnetization ... 2.2 μB/f.u.
Energy of formation ... 774 meV per atom

=====

(18)
Below is a relaxed K3GaOs crystal, with properties calculated at the PBEsol level.

Cell and atoms, written as CIF:
```
data_K3GaOs
_symmetry_space_group_name_H-M 'P m -3 m'
_symmetry_Int_Tables_number 221
_symmetry_space_group_name_Hall '-P 4 2 3'
_cell_length_a 6.136
_cell_length_b 6.136
_cell_length_c 6.136
_cell_angle_alpha 90.00
_cell_angle_beta 90.00
_cell_angle_gamma 90.00
loop_
_atom_site_label
_atom_site_type_symbol
_atom_site_fract_x
_atom_site_fract_y
_atom_site_fract_z
K1 K 0.000 0.000 0.500
Ga1 Ga 0.000 0.000 0.000
Os1 Os 0.500 0.500 0.500
```

Summary:
VASP energy ... -2.091 eV per atom
Magnetization ... 3.1 μB/f.u.
Energy of formation ... 1700 meV per atom

=====

(19)
Below is a relaxed Zr2CuCl crystal, with properties calculated at the PBEsol level.

Cell and atoms, written as CIF:
```
data_Zr2CuCl
_symmetry_space_group_name_H-M 'P 4/m m m'
_symmetry_Int_Tables_number 123
_symmetry_space_group_name_Hall '-P 4 2'
_cell_length_a 3.073
_cell_length_b 3.073
_cell_length_c 7.162
_cell_angle_alpha 90.00
_cell_angle_beta 90.00
_cell_angle_gamma 90.00
loop_
_atom_site_label
_atom_site_type_symbol
_atom_site_fract_x
_atom_site_fract_y
_atom_site_fract_z
Zr1 Zr 0.000 0.000 0.240
Cu1 Cu 0.500 0.500 0.000
Cl1 Cl 0.500 0.500 0.500
```

Summary:
VASP energy ... -6.498 eV per atom
Magnetization ... 0.0 μB/f.u.
Formation energy from raw total energies ... -8.47 kcal/mol of atoms

=====

(20)
Below is a relaxed BaScSi2 crystal, with properties calculated at the PBEsol level.

Cell and atoms, written as CIF:
```
data_BaScSi2
_symmetry_space_group_name_H-M 'A m m 2'
_symmetry_Int_Tables_number 38
_cell_length_a 3.791
_cell_length_b 4.186
_cell_length_c 12.765
_cell_angle_alpha 90.00
_cell_angle_beta 90.00
_cell_angle_gamma 90.00
loop_
_symmetry_equiv_pos_as_xyz
'x,y,z'
'-x,-y,z'
'-x,y,z'
'x,-y,z'
'x,y+1/2,z+1/2'
'-x,-y+1/2,z+1/2'
'-x,y+1/2,z+1/2'
'x,-y+1/2,z+1/2'
loop_
_atom_site_label
_atom_site_type_symbol
_atom_site_fract_x
_atom_site_fract_y
_atom_site_fract_z
Ba1 Ba 0.000 0.000 0.000
Sc1 Sc 0.500 0.000 0.738
Si1 Si 0.000 0.000 0.259
Si2 Si 0.500 0.000 0.377
```

Summary:
VASP energy ... -5.530 eV per atom
Magnetization ... 0.0 μB/f.u.
Formation energy from raw total energies ... -10.80 kcal/mol of atoms